Entry 1:
A plane-wave DFT calculation with PBE was carried out for a geometry-optimized RbDyB structure.

a = 4.8671 Å, b = 4.8671 Å, c = 4.8671 Å
α = 60.00°, β = 60.00°, γ = 60.00°
Sites, in units of the cell vectors:
Rb 0.0000 0.0000 0.0000
Dy 0.5000 0.5000 0.5000
B 0.7500 0.7500 0.7500

**Space-group type**: F-43m
**Uncorrected energy**: -8.7 eV/cell
**Calculated volume**: 81.5 Å³ per cell

Entry 2:
A plane-wave DFT calculation with PBE was carried out for a geometry-optimized Dy3ReB7 structure.

a = 8.0807 Å, b = 8.0807 Å, c = 9.3460 Å
α = 90.00°, β = 90.00°, γ = 154.75°
Sites, in units of the cell vectors:
Dy 0.1053 0.8947 0.5599
Dy 0.1053 0.8947 0.9401
Dy 0.2423 0.7577 0.2500
Dy 0.7577 0.2423 0.7500
Dy 0.8947 0.1053 0.0599
Dy 0.8947 0.1053 0.4401
Re 0.0532 0.9468 0.2500
Re 0.9468 0.0532 0.7500
B 0.2731 0.7269 0.5332
B 0.2731 0.7269 0.9668
B 0.3679 0.6321 0.6506
B 0.3679 0.6321 0.8494
B 0.4571 0.5429 0.2500
B 0.4794 0.5206 0.5954
B 0.4794 0.5206 0.9046
B 0.5206 0.4794 0.0954
B 0.5206 0.4794 0.4046
B 0.5429 0.4571 0.7500
B 0.6321 0.3679 0.1506
B 0.6321 0.3679 0.3494
B 0.7269 0.2731 0.0332
B 0.7269 0.2731 0.4668

**Space-group type**: Cmcm
**Uncorrected energy**: -159.4 eV/cell
**Calculated volume**: 260.4 Å³ per cell

Entry 3:
A plane-wave DFT calculation with PBE was carried out for a geometry-optimized Dy2ReB6 structure.

a = 9.1664 Å, b = 11.5439 Å, c = 3.6782 Å
α = 90.00°, β = 90.00°, γ = 90.00°
Sites, in units of the cell vectors:
Dy 0.0571 0.1302 0.0000
Dy 0.1765 0.4139 0.0000
Dy 0.3235 0.9139 0.0000
Dy 0.4429 0.6302 0.0000
Dy 0.5571 0.3698 0.0000
Dy 0.6765 0.0861 0.0000
Dy 0.8235 0.5861 0.0000
Dy 0.9429 0.8698 0.0000
Re 0.1385 0.6792 0.0000
Re 0.3615 0.1792 0.0000
Re 0.6385 0.8208 0.0000
Re 0.8615 0.3208 0.0000
B 0.0173 0.2882 0.5000
B 0.0533 0.5670 0.5000
B 0.1001 0.9721 0.5000
B 0.1311 0.8144 0.5000
B 0.2080 0.2347 0.5000
B 0.2491 0.5814 0.5000
B 0.2509 0.0814 0.5000
B 0.2920 0.7347 0.5000
B 0.3689 0.3144 0.5000
B 0.3999 0.4721 0.5000
B 0.4467 0.0670 0.5000
B 0.4827 0.7882 0.5000
B 0.5173 0.2118 0.5000
B 0.5533 0.9330 0.5000
B 0.6001 0.5279 0.5000
B 0.6311 0.6856 0.5000
B 0.7080 0.2653 0.5000
B 0.7491 0.9186 0.5000
B 0.7509 0.4186 0.5000
B 0.7920 0.7653 0.5000
B 0.8689 0.1856 0.5000
B 0.8999 0.0279 0.5000
B 0.9467 0.4330 0.5000
B 0.9827 0.7118 0.5000

**Space-group type**: Pbam
**Uncorrected energy**: -269.3 eV/cell
**Calculated volume**: 389.2 Å³ per cell

Entry 4:
A plane-wave DFT calculation with PBE was carried out for a geometry-optimized DyBSb structure.

a = 4.8203 Å, b = 4.8203 Å, c = 4.8203 Å
α = 60.00°, β = 60.00°, γ = 60.00°
Sites, in units of the cell vectors:
Dy 0.0000 0.0000 0.0000
B 0.5000 0.5000 0.5000
Sb 0.7500 0.7500 0.7500

**Space-group type**: F-43m
**Uncorrected energy**: -12.8 eV/cell
**Calculated volume**: 79.2 Å³ per cell
**Relative energy among the computed polymorphs**: 0.647 eV/atom

Entry 5:
A plane-wave DFT calculation with PBE was carried out for a geometry-optimized DyBSb structure.

a = 4.4682 Å, b = 4.4682 Å, c = 4.4682 Å
α = 60.00°, β = 60.00°, γ = 60.00°
Sites, in units of the cell vectors:
Dy 0.0000 0.0000 0.0000
B 0.2500 0.2500 0.2500
Sb 0.5000 0.5000 0.5000

**Space-group type**: F-43m
**Uncorrected energy**: -14.7 eV/cell
**Calculated volume**: 63.1 Å³ per cell
**Relative energy among the computed polymorphs**: 0.000 eV/atom

Entry 6:
A plane-wave DFT calculation with PBE was carried out for a geometry-optimized DyScB4 structure.

a = 3.2110 Å, b = 3.2110 Å, c = 7.3971 Å
α = 90.00°, β = 90.00°, γ = 120.00°
Sites, in units of the cell vectors:
Dy 0.0000 0.0000 0.0000
Sc 0.0000 0.0000 0.5000
B 0.3333 0.6667 0.2653
B 0.3333 0.6667 0.7347
B 0.6667 0.3333 0.2653
B 0.6667 0.3333 0.7347

**Space-group type**: P6/mmm
**Uncorrected energy**: -41.8 eV/cell
**Calculated volume**: 66.0 Å³ per cell

| no. | calculated density (g/cm3) |
| --- | --- |
| 1 | 5.27 |
| 2 | 9.56 |
| 3 | 9.83 |
| 4 | 6.19 |
| 5 | 7.77 |
| 6 | 6.30 |